(1)
This record from Alexandria via LeMat-Bulk describes Fe2CuTc after structural relaxation. The functional is PBE-GGA.

## Properties
E: -7.64 eV/atom
Formation energy from the elements: 0.210 eV per atom
Size of the total moment: 3.7 μB/cell

a b c (Å): 8.610 8.610 8.610
angles (deg): 17.46 17.46 17.46
Fractional positions:
Fe 0.249 0.249 0.249
Fe 0.751 0.751 0.751
Cu 0.500 0.500 0.500
Tc 0.000 0.000 0.000

---

(2)
This record from Alexandria via LeMat-Bulk describes Fe2CuTc2 after structural relaxation. The functional is PBE-GGA.

## Properties
E: -8.12 eV/atom
Formation energy from the elements: 0.234 eV per atom
Size of the total moment: 0.0 μB/cell

a b c (Å): 7.016 7.016 2.638
angles (deg): 90.00 90.00 90.00
Fractional positions:
Fe 0.122 0.378 0.000
Fe 0.378 0.878 0.000
Fe 0.622 0.122 0.000
Fe 0.878 0.622 0.000
Cu 0.000 0.000 0.000
Cu 0.500 0.500 0.000
Tc 0.170 0.670 0.500
Tc 0.330 0.170 0.500
Tc 0.670 0.830 0.500
Tc 0.830 0.330 0.500

---

(3)
This record from Alexandria via LeMat-Bulk describes Fe2CuTc after structural relaxation. The functional is PBE-GGA.

## Properties
E: -7.66 eV/atom
Formation energy from the elements: 0.191 eV per atom
Size of the total moment: 3.3 μB/cell

a b c (Å): 4.481 4.481 4.481
angles (deg): 132.08 132.08 70.10
Fractional positions:
Fe 0.250 0.750 0.500
Fe 0.750 0.250 0.500
Cu 0.000 0.000 0.000
Tc 0.500 0.500 0.000

---

(4)
This record from Alexandria via LeMat-Bulk describes Fe2CuTc after structural relaxation. The functional is PBE-GGA.

## Properties
E: -7.66 eV/atom
Formation energy from the elements: 0.183 eV per atom
Size of the total moment: 3.8 μB/cell

a b c (Å): 2.598 3.660 5.203
angles (deg): 90.00 90.00 90.00
Fractional positions:
Fe 0.000 0.000 0.000
Fe 0.500 0.500 0.249
Cu 0.500 0.500 0.759
Tc 0.000 0.000 0.481

---

Q: Look up the formation energy from the elements of the first one.
A: 0.210 eV per atom